! MgMnCo GGA-PBE optimized geometry; values from VASP
! Density of states at the Fermi level   2.4082 states/eV per atom
! Energy relative to the lowest polymorph listed for this composition   260 meV/atom
! SG   P4/nmm, No. 129
&SYSTEM
  ibrav = 0, nat = 6, ntyp = 3
/
ATOMIC_SPECIES
Mg 24.30 Mg.upf
Mn 54.94 Mn.upf
Co 58.93 Co.upf
CELL_PARAMETERS angstrom
3.6128 0.0000 0.0000
0.0000 3.6128 0.0000
0.0000 0.0000 6.5731
ATOMIC_POSITIONS crystal
Mg 0.2500 0.2500 0.1431
Mg 0.7500 0.7500 0.8569
Mn 0.2500 0.7500 0.5000
Mn 0.7500 0.2500 0.5000
Co 0.2500 0.2500 0.7147
Co 0.7500 0.7500 0.2853